A geometry-optimized Pm2TlBi structure, computed with PBE.

Cell lengths 12.670, 12.670, 4.518 Å; angles 90.00, 90.00, 158.90 degrees
Fractional coordinates of all 8 atoms:
Pm1 0.062 0.938 0.750
Pm2 0.317 0.683 0.750
Pm3 0.683 0.317 0.250
Pm4 0.938 0.062 0.250
Tl1 0.456 0.544 0.750
Tl2 0.544 0.456 0.250
Bi1 0.189 0.811 0.750
Bi2 0.811 0.189 0.250

* offset from the most stable computed form: 0.0000 eV/atom
* N(E_F): 0.602 states/eV/atom
* crystal system: orthorhombic
* calculated formation energy: -0.63 eV/atom
* volume: 32.637 Å³/atom
* M_tot: 0.00 μB/atom